PmNpBiO6: optimized geometry, GGA-PBE.

Computed properties:
SG = P-31c
E_form (uncorrected) = -2.505 eV per atom

a b c (Å): 5.919 5.919 9.455
angles (deg): 90.00 90.00 120.00
Atoms (fractional coordinates):
O 0.965 0.634 0.366
O 0.366 0.035 0.134
O 0.331 0.965 0.634
O 0.035 0.366 0.634
O 0.634 0.965 0.866
O 0.669 0.634 0.134
O 0.634 0.669 0.634
O 0.366 0.331 0.366
O 0.331 0.366 0.866
O 0.035 0.669 0.866
O 0.669 0.035 0.366
O 0.965 0.331 0.134
Np 0.667 0.333 0.250
Np 0.333 0.667 0.750
Pm 0.333 0.667 0.250
Pm 0.667 0.333 0.750
Bi 0.000 0.000 0.000
Bi 0.000 0.000 0.500

***

PmNpBiO2: optimized geometry, GGA-PBE.

Computed properties:
SG = I4mm
E_form (uncorrected) = -2.286 eV per atom

a b c (Å): 3.982 3.982 7.165
angles (deg): 106.13 106.13 90.00
Atoms (fractional coordinates):
Bi 0.503 0.503 0.007
O 0.246 0.746 0.491
O 0.746 0.246 0.491
Np 0.163 0.163 0.326
Pm 0.842 0.842 0.685

***

PrNpBiO2: optimized geometry, GGA-PBE.

Computed properties:
SG = I4mm
E_form (uncorrected) = -2.259 eV per atom

a b c (Å): 4.008 4.008 7.227
angles (deg): 106.10 106.10 90.00
Atoms (fractional coordinates):
Bi 0.505 0.505 0.010
Np 0.164 0.164 0.327
Pr 0.844 0.844 0.688
O 0.744 0.244 0.487
O 0.244 0.744 0.487

***

> Among the records above, which one has the lowest E_form (uncorrected)?

PmNpBiO6